Compound: SbPbW2
Source: Alexandria via LeMat-Bulk
Functional: PBE
Structure: optimized geometry

distance to the lowest polymorph of the same formula = 0.608 eV per atom
magnetic moment = 0.00 μB/cell
theoretical density = 14.69 g/cm³
formation energy without anion corrections = 0.9860 eV/atom
space-group type = No. 166

a b c (Å): 9.3527 9.3527 9.3527
angles (deg): 19.38 19.38 19.38
With the nearest neighbours (Å) after each atom.
Fractional coordinates of all 4 atoms:
Pb (0.2500, 0.2500, 0.2500)  6 W 3.05, 6 Pb 3.15
Sb (0.7500, 0.7500, 0.7500)  6 W 2.81
W (0.0056, 0.0056, 0.0056)  3 Sb 2.81, 3 Pb 3.05
W (0.4944, 0.4944, 0.4944)  3 Sb 2.81, 3 Pb 3.05